# Cs2MnGa | Alexandria | GGA-PBE | optimized geometry
# Excess energy over the best structure of this formula in the dataset in meV/atom: 383.4
# Crystal system: cubic
# DFT formation energy in eV/atom: 0.856
# Magnetization in μB per cell: 12.07
data_Cs2MnGa
_chemical_formula_sum 'Cs8 Mn4 Ga4'
_cell_length_a 8.391
_cell_length_b 8.391
_cell_length_c 8.391
_cell_angle_alpha 90.00
_cell_angle_beta 90.00
_cell_angle_gamma 90.00
_symmetry_space_group_name_H-M 'F m -3 m'
_symmetry_Int_Tables_number 225
_symmetry_space_group_name_Hall '-F 4 2 3'
loop_
_atom_site_label
_atom_site_type_symbol
_atom_site_fract_x
_atom_site_fract_y
_atom_site_fract_z
Cs1 Cs 0.250 0.250 0.250
Mn1 Mn 0.000 0.000 0.000
Ga1 Ga 0.000 0.000 0.500